# Ba2CeNdSe4 | Alexandria via LeMat-Bulk | PBE | relaxed
data_Ba2CeNdSe4
_chemical_formula_sum 'Ba2 Ce1 Nd1 Se4'
_cell_length_a 7.621
_cell_length_b 4.405
_cell_length_c 7.865
_cell_angle_alpha 90.00
_cell_angle_beta 108.87
_cell_angle_gamma 90.00
_space_group_name_H-M_alt 'P 1 2/m 1'
_space_group_IT_number 10
loop_
_space_group_symop_operation_xyz
'x,y,z'
'-x,-y,-z'
'-x,y,-z'
'x,-y,z'
loop_
_atom_site_label
_atom_site_type_symbol
_atom_site_fract_x
_atom_site_fract_y
_atom_site_fract_z
Ba1 Ba 0.000 0.000 0.000
Ba2 Ba 0.500 0.500 0.000
Ce1 Ce 0.000 0.500 0.500
Nd1 Nd 0.500 0.000 0.500
Se1 Se 0.241 0.000 0.722
Se2 Se 0.259 0.500 0.278
# D(E_F) ... 1.18 states/eV per atom
# Uncorrected energy ... -5.452 eV/atom
# Volume ... 250 Å³ per cell
# ΔE_f (raw) ... -1.892 eV per atom

=====

# DyFe2C | Alexandria via LeMat-Bulk | PBE | relaxed
data_DyFe2C
_chemical_formula_sum 'Dy3 Fe6 C3'
_cell_length_a 3.0574
_cell_length_b 3.0574
_cell_length_c 20.1293
_cell_angle_alpha 90.00
_cell_angle_beta 90.00
_cell_angle_gamma 120.00
_space_group_name_H-M_alt 'R -3 m'
_space_group_IT_number 166
_space_group_name_Hall '-R 3 2"'
loop_
_atom_site_label
_atom_site_type_symbol
_atom_site_fract_x
_atom_site_fract_y
_atom_site_fract_z
Dy1 Dy 0.0000 0.0000 0.0000
Fe1 Fe 0.0000 0.0000 0.2107
C1 C 0.0000 0.0000 0.5000
# D(E_F) ... 1.07 states/eV per atom
# Uncorrected energy ... -7.386 eV/atom
# Volume ... 163 Å³ per cell
# Energy relative to the elements ... 1.206 eV per formula unit

=====

# HgGeIr3 | Alexandria via LeMat-Bulk | PBE | relaxed
data_HgGeIr3
_chemical_formula_sum 'Hg1 Ge1 Ir3'
_cell_length_a 4.586
_cell_length_b 4.586
_cell_length_c 4.586
_cell_angle_alpha 90.00
_cell_angle_beta 90.00
_cell_angle_gamma 90.00
_space_group_name_H-M_alt 'P m -3 m'
_space_group_IT_number 221
_space_group_name_Hall '-P 4 2 3'
loop_
_atom_site_label
_atom_site_type_symbol
_atom_site_fract_x
_atom_site_fract_y
_atom_site_fract_z
Hg1 Hg 0.000 0.000 0.000
Ge1 Ge 0.500 0.500 0.500
Ir1 Ir 0.000 0.500 0.500
# D(E_F) ... 1.39 states/eV per atom
# Uncorrected energy ... -5.263 eV/atom
# Volume ... 96 Å³ per cell
# Energy relative to the elements ... 5.186 eV per formula unit

=====

# ScTe2IN | Alexandria via LeMat-Bulk | PBE | relaxed
data_ScTe2IN
_chemical_formula_sum 'Sc1 Te2 I1 N1'
_cell_length_a 5.890
_cell_length_b 5.890
_cell_length_c 3.977
_cell_angle_alpha 90.00
_cell_angle_beta 90.00
_cell_angle_gamma 90.00
_space_group_name_H-M_alt 'P 4/m m m'
_space_group_IT_number 123
_space_group_name_Hall '-P 4 2'
loop_
_atom_site_label
_atom_site_type_symbol
_atom_site_fract_x
_atom_site_fract_y
_atom_site_fract_z
Sc1 Sc 0.000 0.000 0.000
Te1 Te 0.000 0.500 0.500
I1 I 0.500 0.500 0.500
N1 N 0.500 0.500 0.000
# D(E_F) ... 0.42 states/eV per atom
# Uncorrected energy ... -3.643 eV/atom
# Volume ... 138 Å³ per cell
# ΔE_f (raw) ... 0.856 eV per atom

=====

# As2RuCl | Alexandria via LeMat-Bulk | PBE | relaxed
data_As2RuCl
_chemical_formula_sum 'As8 Ru4 Cl4'
_cell_length_a 6.465
_cell_length_b 6.465
_cell_length_c 6.465
_cell_angle_alpha 90.00
_cell_angle_beta 90.00
_cell_angle_gamma 90.00
_space_group_name_H-M_alt 'F m -3 m'
_space_group_IT_number 225
_space_group_name_Hall '-F 4 2 3'
loop_
_atom_site_label
_atom_site_type_symbol
_atom_site_fract_x
_atom_site_fract_y
_atom_site_fract_z
As1 As 0.250 0.250 0.250
Ru1 Ru 0.000 0.000 0.000
Cl1 Cl 0.000 0.000 0.500
# D(E_F) ... 0.94 states/eV per atom
# Uncorrected energy ... -4.510 eV/atom
# Volume ... 270 Å³ per cell
# ΔE_f (raw) ... 0.596 eV per atom

=====

# Pm8Pr3Y2 | Alexandria via LeMat-Bulk | PBE | relaxed
data_Pm8Pr3Y2
_chemical_formula_sum 'Pm16 Pr6 Y4'
_cell_length_a 13.316
_cell_length_b 11.904
_cell_length_c 6.250
_cell_angle_alpha 90.00
_cell_angle_beta 113.34
_cell_angle_gamma 90.00
_space_group_name_H-M_alt 'C 1 2/m 1'
_space_group_IT_number 12
loop_
_space_group_symop_operation_xyz
'x,y,z'
'-x,-y,-z'
'-x,y,-z'
'x,-y,z'
'x+1/2,y+1/2,z'
'-x+1/2,-y+1/2,-z'
'-x+1/2,y+1/2,-z'
'x+1/2,-y+1/2,z'
loop_
_atom_site_label
_atom_site_type_symbol
_atom_site_fract_x
_atom_site_fract_y
_atom_site_fract_z
Pm1 Pm 0.056 0.000 0.284
Pm2 Pm 0.156 0.500 0.549
Pm3 Pm 0.174 0.243 0.176
Pr1 Pr 0.000 0.258 0.500
Pr2 Pr 0.000 0.500 0.000
Y1 Y 0.212 0.000 0.856
# D(E_F) ... 1.76 states/eV per atom
# Uncorrected energy ... -4.868 eV/atom
# Volume ... 910 Å³ per cell
# Energy relative to the elements ... 1.991 eV per formula unit

=====

# SmScNiRu | Alexandria via LeMat-Bulk | PBE | relaxed
data_SmScNiRu
_chemical_formula_sum 'Sm4 Sc4 Ni4 Ru4'
_cell_length_a 6.667
_cell_length_b 6.667
_cell_length_c 6.667
_cell_angle_alpha 90.00
_cell_angle_beta 90.00
_cell_angle_gamma 90.00
_space_group_name_H-M_alt 'F -4 3 m'
_space_group_IT_number 216
_space_group_name_Hall 'F -4 2 3'
loop_
_atom_site_label
_atom_site_type_symbol
_atom_site_fract_x
_atom_site_fract_y
_atom_site_fract_z
Sm1 Sm 0.000 0.000 0.000
Sc1 Sc 0.000 0.000 0.500
Ni1 Ni 0.250 0.250 0.750
Ru1 Ru 0.250 0.250 0.250
# D(E_F) ... 0.64 states/eV per atom
# Uncorrected energy ... -6.885 eV/atom
# Volume ... 296 Å³ per cell
# Energy relative to the elements ... -1.432 eV per formula unit

=====

# Pm6Nd4Y | Alexandria via LeMat-Bulk | PBE | relaxed
data_Pm6Nd4Y
_chemical_formula_sum 'Pm12 Nd8 Y2'
_cell_length_a 7.689
_cell_length_b 7.689
_cell_length_c 13.580
_cell_angle_alpha 90.00
_cell_angle_beta 90.00
_cell_angle_gamma 90.00
_space_group_name_H-M_alt 'I -4 2 m'
_space_group_IT_number 121
_space_group_name_Hall 'I -4 2'
loop_
_atom_site_label
_atom_site_type_symbol
_atom_site_fract_x
_atom_site_fract_y
_atom_site_fract_z
Pm1 Pm 0.000 0.500 0.000
Pm2 Pm 0.229 0.229 0.188
Nd1 Nd 0.173 0.173 0.421
Y1 Y 0.000 0.000 0.000
# D(E_F) ... 1.21 states/eV per atom
# Uncorrected energy ... -4.541 eV/atom
# Volume ... 803 Å³ per cell
# Energy relative to the elements ... 4.089 eV per formula unit

=====

# Ga2TePdS6 | Alexandria via LeMat-Bulk | PBE | relaxed
data_Ga2TePdS6
_chemical_formula_sum 'Ga8 Te4 Pd4 S24'
_cell_length_a 12.711
_cell_length_b 10.895
_cell_length_c 6.729
_cell_angle_alpha 90.00
_cell_angle_beta 107.99
_cell_angle_gamma 90.00
_space_group_name_H-M_alt 'C 1 2/c 1'
_space_group_IT_number 15
loop_
_space_group_symop_operation_xyz
'x,y,z'
'-x,-y,-z'
'-x,y,-z+1/2'
'x,-y,z+1/2'
'x+1/2,y+1/2,z'
'-x+1/2,-y+1/2,-z'
'-x+1/2,y+1/2,-z+1/2'
'x+1/2,-y+1/2,z+1/2'
loop_
_atom_site_label
_atom_site_type_symbol
_atom_site_fract_x
_atom_site_fract_y
_atom_site_fract_z
Ga1 Ga 0.209 0.102 0.257
Te1 Te 0.000 0.222 0.750
Pd1 Pd 0.000 0.332 0.250
S1 S 0.095 0.379 0.597
S2 S 0.141 0.054 0.525
S3 S 0.146 0.292 0.111
# Uncorrected energy ... -4.205 eV/atom
# Volume ... 886 Å³ per cell
# ΔE_f (raw) ... -0.289 eV per atom

=====

# Be2ZnOs | Alexandria via LeMat-Bulk | PBE | relaxed
data_Be2ZnOs
_chemical_formula_sum 'Be4 Zn2 Os2'
_cell_length_a 2.720
_cell_length_b 4.548
_cell_length_c 7.861
_cell_angle_alpha 90.00
_cell_angle_beta 90.00
_cell_angle_gamma 90.00
_space_group_name_H-M_alt 'C m m 2'
_space_group_IT_number 35
loop_
_space_group_symop_operation_xyz
'x,y,z'
'-x,-y,z'
'-x,y,z'
'x,-y,z'
'x+1/2,y+1/2,z'
'-x+1/2,-y+1/2,z'
'-x+1/2,y+1/2,z'
'x+1/2,-y+1/2,z'
loop_
_atom_site_label
_atom_site_type_symbol
_atom_site_fract_x
_atom_site_fract_y
_atom_site_fract_z
Be1 Be 0.000 0.000 0.000
Be2 Be 0.000 0.500 0.222
Zn1 Zn 0.000 0.500 0.750
Os1 Os 0.000 0.000 0.460
# D(E_F) ... 0.39 states/eV per atom
# Uncorrected energy ... -4.697 eV/atom
# Volume ... 97 Å³ per cell
# Energy relative to the elements ... 1.170 eV per formula unit

=====

# BePdOF2 | Alexandria via LeMat-Bulk | PBE | relaxed
data_BePdOF2
_chemical_formula_sum 'Be1 Pd1 O1 F2'
_cell_length_a 4.135
_cell_length_b 4.135
_cell_length_c 4.017
_cell_angle_alpha 90.00
_cell_angle_beta 90.00
_cell_angle_gamma 90.00
_space_group_name_H-M_alt 'P 4/m m m'
_space_group_IT_number 123
_space_group_name_Hall '-P 4 2'
loop_
_atom_site_label
_atom_site_type_symbol
_atom_site_fract_x
_atom_site_fract_y
_atom_site_fract_z
Be1 Be 0.000 0.000 0.000
Pd1 Pd 0.500 0.500 0.500
O1 O 0.500 0.500 0.000
F1 F 0.000 0.500 0.500
# D(E_F) ... 0.57 states/eV per atom
# Uncorrected energy ... -3.763 eV/atom
# Volume ... 69 Å³ per cell
# ΔE_f (raw) ... -0.239 eV per atom

=====

# AcPaNO2 | Alexandria via LeMat-Bulk | PBE | relaxed
data_AcPaNO2
_chemical_formula_sum 'Ac4 Pa4 N4 O8'
_cell_length_a 6.107
_cell_length_b 6.107
_cell_length_c 9.098
_cell_angle_alpha 90.00
_cell_angle_beta 90.00
_cell_angle_gamma 90.00
_space_group_name_H-M_alt 'I 4/m c m'
_space_group_IT_number 140
_space_group_name_Hall '-I 4 2c'
loop_
_atom_site_label
_atom_site_type_symbol
_atom_site_fract_x
_atom_site_fract_y
_atom_site_fract_z
Ac1 Ac 0.000 0.500 0.250
Pa1 Pa 0.000 0.000 0.000
N1 N 0.000 0.000 0.250
O1 O 0.161 0.339 0.000
# D(E_F) ... 0.70 states/eV per atom
# Uncorrected energy ... -8.983 eV/atom
# Volume ... 339 Å³ per cell
# ΔE_f (raw) ... -2.613 eV per atom